1.
DFT (PBE) results for Ca4Ni3Bi8 after structural relaxation.

a = 4.611 Å, b = 4.611 Å, c = 19.114 Å
α = 90.00°, β = 90.00°, γ = 90.00°
Sites, in units of the cell vectors:
Ca (0.000, 0.500, 0.115)
Ca (0.000, 0.500, 0.617)
Ca (0.500, 0.000, 0.383)
Ca (0.500, 0.000, 0.885)
Ni (0.000, 0.000, 0.000)
Ni (0.000, 0.000, 0.500)
Ni (0.500, 0.500, 0.500)
Bi (0.000, 0.000, 0.250)
Bi (0.000, 0.000, 0.750)
Bi (0.000, 0.500, 0.428)
Bi (0.000, 0.500, 0.936)
Bi (0.500, 0.000, 0.064)
Bi (0.500, 0.000, 0.572)
Bi (0.500, 0.500, 0.247)
Bi (0.500, 0.500, 0.753)

## Properties
space-group type	P-4m2 (115)
magnetic moment	0.0	μB/f.u.
E_tot	-4.139	eV/atom

2.
DFT (PBE) results for CaNiBi2 after structural relaxation.

a = 9.455 Å, b = 9.455 Å, c = 9.455 Å
α = 147.41°, β = 147.41°, γ = 46.75°
Sites, in units of the cell vectors:
Ca (0.000, 0.000, 0.000)
Ca (0.750, 0.250, 0.500)
Ni (0.250, 0.750, 0.500)
Ni (0.500, 0.500, 0.000)
Bi (0.221, 0.625, 0.096)
Bi (0.375, 0.471, 0.596)
Bi (0.529, 0.125, 0.904)
Bi (0.875, 0.779, 0.404)

## Properties
space-group type	I-42d (122)
magnetic moment	0.0	μB/f.u.
E_tot	-3.923	eV/atom

3.
DFT (PBE) results for CaNi2Bi2 after structural relaxation.

a = 5.883 Å, b = 5.883 Å, c = 5.883 Å
α = 131.20°, β = 131.20°, γ = 71.50°
Sites, in units of the cell vectors:
Ca (0.000, 0.000, 0.000)
Ni (0.375, 0.375, 0.000)
Ni (0.625, 0.625, 0.000)
Bi (0.250, 0.750, 0.500)
Bi (0.750, 0.250, 0.500)

## Properties
space-group type	I4/mmm (139)
magnetic moment	0.0	μB/f.u.
E_tot	-4.396	eV/atom

4.
DFT (PBE) results for CaNi6Bi6 after structural relaxation.

a = 7.319 Å, b = 7.319 Å, c = 7.319 Å
α = 134.26°, β = 102.72°, γ = 94.70°
Sites, in units of the cell vectors:
Ca (0.000, 0.000, 0.000)
Ni (0.000, 0.000, 0.500)
Ni (0.000, 0.500, 0.000)
Ni (0.248, 0.500, 0.748)
Ni (0.500, 0.000, 0.000)
Ni (0.500, 0.500, 0.500)
Ni (0.752, 0.500, 0.252)
Bi (0.166, 0.666, 0.500)
Bi (0.328, 0.000, 0.328)
Bi (0.334, 0.334, 0.000)
Bi (0.666, 0.666, 0.000)
Bi (0.672, 0.000, 0.672)
Bi (0.834, 0.334, 0.500)

## Properties
space-group type	Immm (71)
magnetic moment	0.0	μB/f.u.
E_tot	-4.567	eV/atom

5.
DFT (PBE) results for Ca3NiBi after structural relaxation.

a = 5.326 Å, b = 5.326 Å, c = 5.326 Å
α = 90.00°, β = 90.00°, γ = 90.00°
Sites, in units of the cell vectors:
Ca (0.000, 0.000, 0.500)
Ca (0.000, 0.500, 0.000)
Ca (0.500, 0.000, 0.000)
Ni (0.000, 0.000, 0.000)
Bi (0.500, 0.500, 0.500)

## Properties
space-group type	Pm-3m (221)
magnetic moment	0.0	μB/f.u.
E_tot	-3.459	eV/atom

6.
DFT (PBE) results for CaNi3Bi after structural relaxation.

a = 4.660 Å, b = 4.660 Å, c = 4.660 Å
α = 90.00°, β = 90.00°, γ = 90.00°
Sites, in units of the cell vectors:
Ca (0.000, 0.000, 0.000)
Ni (0.000, 0.000, 0.500)
Ni (0.000, 0.500, 0.000)
Ni (0.500, 0.000, 0.000)
Bi (0.500, 0.500, 0.500)

## Properties
space-group type	Pm-3m (221)
magnetic moment	0.0	μB/f.u.
E_tot	-3.504	eV/atom

7.
DFT (PBE) results for Ca3NiBi after structural relaxation.

a = 5.919 Å, b = 5.919 Å, c = 5.919 Å
α = 90.00°, β = 90.00°, γ = 90.00°
Sites, in units of the cell vectors:
Ca (0.000, 0.000, 0.500)
Ca (0.000, 0.500, 0.000)
Ca (0.500, 0.000, 0.000)
Ni (0.500, 0.500, 0.500)
Bi (0.000, 0.000, 0.000)

## Properties
space-group type	Pm-3m (221)
magnetic moment	0.4	μB/f.u.
E_tot	-2.805	eV/atom

8.
DFT (PBE) results for Ca2Ni2Bi after structural relaxation.

a = 8.356 Å, b = 8.356 Å, c = 3.251 Å
α = 90.00°, β = 90.00°, γ = 90.00°
Sites, in units of the cell vectors:
Ca (0.148, 0.352, 0.000)
Ca (0.352, 0.852, 0.000)
Ca (0.648, 0.148, 0.000)
Ca (0.852, 0.648, 0.000)
Ni (0.142, 0.642, 0.500)
Ni (0.358, 0.142, 0.500)
Ni (0.642, 0.858, 0.500)
Ni (0.858, 0.358, 0.500)
Bi (0.000, 0.000, 0.000)
Bi (0.500, 0.500, 0.000)

## Properties
space-group type	P4/mbm (127)
magnetic moment	0.0	μB/f.u.
E_tot	-3.746	eV/atom

Number 1: E_form -379 meV per atom. Number 2: E_form -37 meV per atom. Number 3: E_form -131 meV per atom. Number 4: E_form 46 meV per atom. Number 5: E_form -325 meV per atom. Number 6: E_form 1141 meV per atom. Number 7: E_form 329 meV per atom. Number 8: E_form 143 meV per atom.